Entry 1:
The following is a PBE calculation of crystalline MnTc2Rh at its relaxed geometry, from Alexandria via LeMat-Bulk.

Lattice parameters (Å, degrees): 4.720 4.720 4.720 133.09 133.09 68.52
Fractional positions:
Mn (0.000, 0.000, 0.000)
Tc (0.250, 0.750, 0.500)
Tc (0.750, 0.250, 0.500)
Rh (0.500, 0.500, 0.000)

Output
Its total energy is -9.32 eV/atom. For the energy above the most stable polymorph in this dataset, the calculation gives 0.019 eV/atom.

Entry 2:
The following is a PBE calculation of crystalline CaSmPSe at its relaxed geometry, from Alexandria via LeMat-Bulk.

Lattice parameters (Å, degrees): 7.272 7.272 7.272 33.31 33.31 33.31
Fractional positions:
Ca (0.000, 0.000, 0.000)
Sm (0.488, 0.488, 0.488)
P (0.749, 0.749, 0.749)
Se (0.245, 0.245, 0.245)

Output
Its formation energy from raw total energies is -1.721 eV/atom. Its total energy is -5.62 eV/atom.

Entry 3:
The following is a PBE calculation of crystalline Ba2ZnTc at its relaxed geometry, from Alexandria via LeMat-Bulk.

Lattice parameters (Å, degrees): 6.698 6.698 6.698 144.22 134.16 59.47
Fractional positions:
Ba (0.000, 0.000, 0.000)
Ba (0.715, 0.215, 0.500)
Zn (0.294, 0.794, 0.500)
Tc (0.419, 0.419, 0.000)

Output
Its total energy is -3.41 eV/atom.

Entry 4:
The following is a PBE calculation of crystalline Hf2ScGa8 at its relaxed geometry, from Alexandria via LeMat-Bulk.

Lattice parameters (Å, degrees): 7.833 7.833 5.303 109.61 109.61 121.83
Fractional positions:
Hf (0.187, 0.813, 0.000)
Hf (0.813, 0.187, 0.000)
Sc (0.500, 0.500, 0.500)
Ga (0.000, 0.000, 0.232)
Ga (0.000, 0.000, 0.768)
Ga (0.143, 0.392, 0.766)
Ga (0.291, 0.709, 0.500)
Ga (0.392, 0.143, 0.766)
Ga (0.608, 0.857, 0.234)
Ga (0.709, 0.291, 0.500)
Ga (0.857, 0.608, 0.234)

Output
Its total energy is -4.84 eV/atom.

Entry 5:
The following is a PBE calculation of crystalline BaPuNbN3 at its relaxed geometry, from Alexandria via LeMat-Bulk.

Lattice parameters (Å, degrees): 7.884 7.884 7.826 106.82 106.82 27.19
Fractional positions:
Ba (0.149, 0.149, 0.074)
Ba (0.851, 0.851, 0.926)
Pu (0.164, 0.164, 0.546)
Pu (0.836, 0.836, 0.454)
Nb (0.484, 0.484, 0.302)
Nb (0.516, 0.516, 0.698)
N (0.018, 0.018, 0.245)
N (0.312, 0.312, 0.611)
N (0.352, 0.352, 0.231)
N (0.648, 0.648, 0.769)
N (0.688, 0.688, 0.389)
N (0.982, 0.982, 0.755)

Output
Its formation energy from raw total energies is -0.892 eV/atom. Its total energy is -9.44 eV/atom.

Entry 6:
The following is a PBE calculation of crystalline HfInAgHg at its relaxed geometry, from Alexandria via LeMat-Bulk.

Lattice parameters (Å, degrees): 4.910 4.910 4.910 60.00 60.00 60.00
Fractional positions:
Hf (0.000, 0.000, 0.000)
In (0.250, 0.250, 0.250)
Ag (0.500, 0.500, 0.500)
Hg (0.750, 0.750, 0.750)

Output
Its total energy is -3.89 eV/atom.

Entry 7:
The following is a PBE calculation of crystalline LaTm2ScS6 at its relaxed geometry, from Alexandria via LeMat-Bulk.

Lattice parameters (Å, degrees): 7.261 7.261 7.261 56.42 56.42 56.42
Fractional positions:
La (0.000, 0.000, 0.000)
Tm (0.286, 0.286, 0.286)
Tm (0.794, 0.794, 0.794)
Sc (0.485, 0.485, 0.485)
S (0.087, 0.659, 0.422)
S (0.206, 0.579, 0.876)
S (0.422, 0.087, 0.659)
S (0.579, 0.876, 0.206)
S (0.659, 0.422, 0.087)
S (0.876, 0.206, 0.579)

Output
Its formation energy from raw total energies is -2.017 eV/atom. Its total energy is -6.51 eV/atom.

Entry 8:
The following is a PBE calculation of crystalline K2AgMo at its relaxed geometry, from Alexandria via LeMat-Bulk.

Lattice parameters (Å, degrees): 6.866 6.866 6.242 109.30 109.30 29.85
Fractional positions:
K (0.000, 0.000, 0.000)
K (0.196, 0.196, 0.644)
Ag (0.440, 0.440, 0.460)
Mo (0.777, 0.777, 0.211)

Output
Its total energy is -2.92 eV/atom. For the energy above the most stable polymorph in this dataset, the calculation gives 0.149 eV/atom.

Entry 9:
The following is a PBE calculation of crystalline CeYGa at its relaxed geometry, from Alexandria via LeMat-Bulk.

Lattice parameters (Å, degrees): 4.993 4.993 3.617 90.00 90.00 120.00
Fractional positions:
Ce (0.000, 0.000, 0.000)
Y (0.333, 0.667, 0.572)
Ga (0.667, 0.333, 0.335)

Output
Its total energy is -5.34 eV/atom. For the energy above the most stable polymorph in this dataset, the calculation gives 0.235 eV/atom.

Entry 10:
The following is a PBE calculation of crystalline Te2AsPb at its relaxed geometry, from Alexandria via LeMat-Bulk.

Lattice parameters (Å, degrees): 5.344 5.344 5.344 60.00 60.00 60.00
Fractional positions:
Te (0.000, 0.000, 0.000)
Te (0.250, 0.250, 0.250)
As (0.750, 0.750, 0.750)
Pb (0.500, 0.500, 0.500)

Output
Its formation energy from raw total energies is 0.260 eV/atom. Its total energy is -3.40 eV/atom. For the energy above the most stable polymorph in this dataset, the calculation gives 0.334 eV/atom.

Entry 11:
The following is a PBE calculation of crystalline Ba2LaVZn at its relaxed geometry, from Alexandria via LeMat-Bulk.

Lattice parameters (Å, degrees): 6.080 6.080 5.365 90.00 90.00 90.00
Fractional positions:
Ba (0.000, 0.500, 0.000)
Ba (0.500, 0.000, 0.000)
La (0.000, 0.000, 0.500)
V (0.000, 0.000, 0.000)
Zn (0.500, 0.500, 0.500)

Output
Its total energy is -3.20 eV/atom.

Entry 12:
The following is a PBE calculation of crystalline HgRh2Pb2 at its relaxed geometry, from Alexandria via LeMat-Bulk.

Lattice parameters (Å, degrees): 7.549 7.549 3.605 90.00 90.00 90.00
Fractional positions:
Hg (0.000, 0.000, 0.000)
Hg (0.500, 0.500, 0.000)
Rh (0.144, 0.356, 0.000)
Rh (0.356, 0.856, 0.000)
Rh (0.644, 0.144, 0.000)
Rh (0.856, 0.644, 0.000)
Pb (0.155, 0.655, 0.500)
Pb (0.345, 0.155, 0.500)
Pb (0.655, 0.845, 0.500)
Pb (0.845, 0.345, 0.500)

Output
Its total energy is -4.47 eV/atom. For the energy above the most stable polymorph in this dataset, the calculation gives 0.000 eV/atom.

Entry 13:
The following is a PBE calculation of crystalline BaNa6Sr8 at its relaxed geometry, from Alexandria via LeMat-Bulk.

Lattice parameters (Å, degrees): 10.154 10.154 10.154 61.29 61.29 61.29
Fractional positions:
Ba (0.000, 0.000, 0.000)
Na (0.051, 0.538, 0.288)
Na (0.288, 0.051, 0.538)
Na (0.462, 0.712, 0.949)
Na (0.538, 0.288, 0.051)
Na (0.712, 0.949, 0.462)
Na (0.949, 0.462, 0.712)
Sr (0.121, 0.656, 0.820)
Sr (0.180, 0.879, 0.344)
Sr (0.344, 0.180, 0.879)
Sr (0.417, 0.417, 0.417)
Sr (0.583, 0.583, 0.583)
Sr (0.656, 0.820, 0.121)
Sr (0.820, 0.121, 0.656)
Sr (0.879, 0.344, 0.180)

Output
Its total energy is -1.47 eV/atom. For the energy above the most stable polymorph in this dataset, the calculation gives 0.023 eV/atom.

Entry 14:
The following is a PBE calculation of crystalline HfTaCuMo at its relaxed geometry, from Alexandria via LeMat-Bulk.

Lattice parameters (Å, degrees): 4.576 4.576 4.576 60.00 60.00 60.00
Fractional positions:
Hf (0.000, 0.000, 0.000)
Ta (0.500, 0.500, 0.500)
Cu (0.750, 0.750, 0.750)
Mo (0.250, 0.250, 0.250)

Output
Its total energy is -9.21 eV/atom.

Entry 15:
The following is a PBE calculation of crystalline Ba3La2SmTe6 at its relaxed geometry, from Alexandria via LeMat-Bulk.

Lattice parameters (Å, degrees): 8.135 8.135 8.362 99.34 99.34 119.94
Fractional positions:
Ba (0.000, 0.000, 0.000)
Ba (0.331, 0.669, 0.000)
Ba (0.669, 0.331, 0.000)
La (0.166, 0.834, 0.500)
La (0.834, 0.166, 0.500)
Sm (0.500, 0.500, 0.500)
Te (0.097, 0.425, 0.275)
Te (0.248, 0.248, 0.727)
Te (0.425, 0.097, 0.275)
Te (0.575, 0.903, 0.725)
Te (0.752, 0.752, 0.273)
Te (0.903, 0.575, 0.725)

Output
Its formation energy from raw total energies is -1.627 eV/atom. Its total energy is -4.89 eV/atom.

Entry 16:
The following is a PBE calculation of crystalline Sr2ZrRu at its relaxed geometry, from Alexandria via LeMat-Bulk.

Lattice parameters (Å, degrees): 3.412 3.412 9.581 90.00 90.00 90.00
Fractional positions:
Sr (0.000, 0.000, 0.199)
Sr (0.000, 0.000, 0.801)
Zr (0.500, 0.500, 0.500)
Ru (0.500, 0.500, 0.000)

Output
Its total energy is -4.58 eV/atom. For the energy above the most stable polymorph in this dataset, the calculation gives 0.662 eV/atom.

Entry 17:
The following is a PBE calculation of crystalline BaMgZnO3 at its relaxed geometry, from Alexandria via LeMat-Bulk.

Lattice parameters (Å, degrees): 5.983 5.983 5.639 90.00 90.00 123.88
Fractional positions:
Ba (0.237, 0.763, 0.750)
Ba (0.763, 0.237, 0.250)
Mg (0.445, 0.555, 0.250)
Mg (0.555, 0.445, 0.750)
Zn (0.065, 0.935, 0.250)
Zn (0.935, 0.065, 0.750)
O (0.252, 0.252, 0.000)
O (0.252, 0.252, 0.500)
O (0.255, 0.745, 0.250)
O (0.745, 0.255, 0.750)
O (0.748, 0.748, 0.000)
O (0.748, 0.748, 0.500)

Output
Its formation energy from raw total energies is -2.155 eV/atom. Its total energy is -5.43 eV/atom.

Entry 18:
The following is a PBE calculation of crystalline CsNaCd17 at its relaxed geometry, from Alexandria via LeMat-Bulk.

Lattice parameters (Å, degrees): 7.909 7.909 7.909 82.72 82.72 82.72
Fractional positions:
Cs (0.000, 0.000, 0.000)
Na (0.680, 0.680, 0.680)
Cd (0.045, 0.348, 0.637)
Cd (0.045, 0.637, 0.348)
Cd (0.207, 0.690, 0.690)
Cd (0.251, 0.251, 0.251)
Cd (0.334, 0.334, 0.853)
Cd (0.334, 0.853, 0.334)
Cd (0.348, 0.045, 0.637)
Cd (0.348, 0.637, 0.045)
Cd (0.449, 0.449, 0.449)
Cd (0.509, 0.983, 0.983)
Cd (0.637, 0.045, 0.348)
Cd (0.637, 0.348, 0.045)
Cd (0.690, 0.207, 0.690)
Cd (0.690, 0.690, 0.207)
Cd (0.853, 0.334, 0.334)
Cd (0.983, 0.509, 0.983)
Cd (0.983, 0.983, 0.509)

Output
Its total energy is -0.96 eV/atom.

Entry 19:
The following is a PBE calculation of crystalline La4PSe3 at its relaxed geometry, from Alexandria via LeMat-Bulk.

Lattice parameters (Å, degrees): 7.471 7.471 4.286 90.00 90.00 109.16
Fractional positions:
La (0.236, 0.236, 0.500)
La (0.242, 0.758, 0.000)
La (0.758, 0.242, 0.000)
La (0.764, 0.764, 0.500)
P (0.000, 0.000, 0.000)
Se (0.000, 0.500, 0.500)
Se (0.500, 0.000, 0.500)
Se (0.500, 0.500, 0.000)

Output
Its formation energy from raw total energies is -1.943 eV/atom. Its total energy is -6.39 eV/atom.

Entry 20:
The following is a PBE calculation of crystalline PuInRh2 at its relaxed geometry, from Alexandria via LeMat-Bulk.

Lattice parameters (Å, degrees): 4.585 4.585 3.538 90.00 90.00 90.00
Fractional positions:
Pu (0.000, 0.000, 0.000)
In (0.500, 0.500, 0.000)
Rh (0.000, 0.500, 0.500)
Rh (0.500, 0.000, 0.500)

Output
Its total energy is -8.40 eV/atom.